ZrRh3Cl: optimized geometry, PBE-GGA. Values from VASP.

Computed properties:
Size of the total moment = 1.6 μB/f.u.
Excess energy over the best structure of this formula in the dataset = 757 meV per atom
Energy relative to the elements, uncorrected = 1.091 eV/atom

```
&SYSTEM
  ibrav = 0, nat = 5, ntyp = 3
/
ATOMIC_SPECIES
Rh 102.91 Rh.upf
Zr 91.22 Zr.upf
Cl 35.45 Cl.upf
CELL_PARAMETERS angstrom
-0.162 -1.182 -4.738
-2.350 -4.137 1.113
-4.281 2.316 -0.431
ATOMIC_POSITIONS crystal
Rh 0.000 0.500 0.000
Rh 0.000 0.000 0.500
Rh 0.500 0.000 0.000
Zr 0.000 0.000 0.000
Cl 0.500 0.500 0.500
```

---

RuCl: optimized geometry, PBE-GGA. Values from VASP.

Computed properties:
Size of the total moment = 0.0 μB/f.u.
Excess energy over the best structure of this formula in the dataset = 12 meV per atom
Energy relative to the elements, uncorrected = 0.077 eV/atom

```
&SYSTEM
  ibrav = 0, nat = 4, ntyp = 2
/
ATOMIC_SPECIES
Ru 101.07 Ru.upf
Cl 35.45 Cl.upf
CELL_PARAMETERS angstrom
3.542 0.000 0.000
-1.770 3.110 0.000
-0.121 -1.339 8.085
ATOMIC_POSITIONS crystal
Ru 0.644 0.861 0.675
Ru 0.012 0.587 0.819
Cl 0.130 0.847 0.459
Cl 0.383 0.312 0.020
```

---

RuCl: optimized geometry, PBE-GGA. Values from VASP.

Computed properties:
Size of the total moment = 0.0 μB/f.u.
Excess energy over the best structure of this formula in the dataset = 0 meV per atom
Energy relative to the elements, uncorrected = 0.065 eV/atom

```
&SYSTEM
  ibrav = 0, nat = 4, ntyp = 2
/
ATOMIC_SPECIES
Cl 35.45 Cl.upf
Ru 101.07 Ru.upf
CELL_PARAMETERS angstrom
-2.856 0.407 0.413
0.137 -1.892 2.814
1.580 6.643 4.389
ATOMIC_POSITIONS crystal
Cl 0.000 0.000 0.128
Cl 0.500 0.500 0.705
Ru 0.500 0.000 0.497
Ru 0.000 0.500 0.336
```

---

RuCl2: optimized geometry, PBE-GGA. Values from VASP.

Computed properties:
Size of the total moment = 0.0 μB/f.u.
Energy relative to the elements, uncorrected = -0.116 eV/atom

```
&SYSTEM
  ibrav = 0, nat = 6, ntyp = 2
/
ATOMIC_SPECIES
Ru 101.07 Ru.upf
Cl 35.45 Cl.upf
CELL_PARAMETERS angstrom
1.784 -7.565 0.000
1.784 7.565 0.000
0.000 0.000 5.022
ATOMIC_POSITIONS crystal
Ru 0.290 0.710 0.750
Ru 0.710 0.290 0.250
Cl 0.683 0.317 0.750
Cl 0.894 0.106 0.750
Cl 0.106 0.894 0.250
Cl 0.317 0.683 0.250
```

---

RuCl: optimized geometry, PBE-GGA. Values from VASP.

Computed properties:
Size of the total moment = 0.0 μB/f.u.
Excess energy over the best structure of this formula in the dataset = 346 meV per atom
Energy relative to the elements, uncorrected = 0.410 eV/atom

```
&SYSTEM
  ibrav = 0, nat = 16, ntyp = 2
/
ATOMIC_SPECIES
Ru 101.07 Ru.upf
Cl 35.45 Cl.upf
CELL_PARAMETERS angstrom
-2.064 9.785 -2.597
-5.557 -3.311 -8.056
-2.944 -0.074 2.061
ATOMIC_POSITIONS crystal
Ru 0.292 0.191 0.000
Ru 0.708 0.809 0.000
Ru 0.809 0.292 0.000
Ru 0.191 0.708 0.000
Ru 0.792 0.691 0.500
Ru 0.208 0.309 0.500
Ru 0.309 0.792 0.500
Ru 0.691 0.208 0.500
Cl 0.484 0.765 0.000
Cl 0.516 0.235 0.000
Cl 0.235 0.484 0.000
Cl 0.765 0.516 0.000
Cl 0.984 0.265 0.500
Cl 0.016 0.735 0.500
Cl 0.735 0.984 0.500
Cl 0.265 0.016 0.500
```

---

Ru3Cl2: optimized geometry, PBE-GGA. Values from VASP.

Computed properties:
Size of the total moment = 0.0 μB/f.u.
Energy relative to the elements, uncorrected = 0.547 eV/atom

```
&SYSTEM
  ibrav = 0, nat = 10, ntyp = 2
/
ATOMIC_SPECIES
Ru 101.07 Ru.upf
Cl 35.45 Cl.upf
CELL_PARAMETERS angstrom
0.000 4.371 6.101
3.503 0.000 6.101
3.503 4.371 0.000
ATOMIC_POSITIONS crystal
Ru 0.629 0.692 0.098
Ru 0.581 0.098 0.692
Ru 0.152 0.669 0.621
Ru 0.558 0.621 0.669
Ru 0.913 0.587 0.587
Ru 0.663 0.337 0.337
Cl 0.708 0.219 0.904
Cl 0.169 0.904 0.219
Cl 0.346 0.081 0.542
Cl 0.031 0.542 0.081
```

---

Ru3Cl4: optimized geometry, PBE-GGA. Values from VASP.

Computed properties:
Size of the total moment = 8.2 μB/f.u.
Energy relative to the elements, uncorrected = 0.921 eV/atom

```
&SYSTEM
  ibrav = 0, nat = 7, ntyp = 2
/
ATOMIC_SPECIES
Ru 101.07 Ru.upf
Cl 35.45 Cl.upf
CELL_PARAMETERS angstrom
2.798 -4.846 0.000
2.798 4.846 0.000
0.000 0.000 4.841
ATOMIC_POSITIONS crystal
Ru 0.000 0.500 0.000
Ru 0.500 0.500 0.000
Ru 0.500 0.000 0.000
Cl 0.000 0.000 0.254
Cl 0.000 0.000 0.746
Cl 0.667 0.333 0.500
Cl 0.333 0.667 0.500
```

---

RuCl2: optimized geometry, PBE-GGA. Values from VASP.

Computed properties:
Size of the total moment = 0.0 μB/f.u.
Energy relative to the elements, uncorrected = 0.306 eV/atom

```
&SYSTEM
  ibrav = 0, nat = 3, ntyp = 2
/
ATOMIC_SPECIES
Ru 101.07 Ru.upf
Cl 35.45 Cl.upf
CELL_PARAMETERS angstrom
4.322 0.000 0.000
0.000 4.322 0.000
0.000 0.000 2.948
ATOMIC_POSITIONS crystal
Ru 0.000 0.000 0.000
Cl 0.000 0.500 0.500
Cl 0.500 0.000 0.500
```

---

Number 1: E -5.399 eV per atom. Number 2: E -5.484 eV per atom. Number 3: E -5.497 eV per atom. Number 4: E -4.439 eV per atom. Number 5: E -5.151 eV per atom. Number 6: E -5.758 eV per atom. Number 7: E -4.109 eV per atom. Number 8: E -4.017 eV per atom.